The following is a PBE calculation of crystalline NaZn3Pd at its relaxed geometry, from Alexandria.

Summary:
formation enthalpy at 0 K: -0.2009 eV/atom
DFT total energy: -2.268 eV per atom
symmetry: Cmcm
theoretical density: 5.884 Mg/m³

Lattice parameters (Å, degrees): 5.4769 5.4751 6.7125 114.07 90.00 90.00
Fractional coordinates of all 10 atoms:
1 Na 0.2500 0.4127 0.8254
2 Na 0.7500 0.5873 0.1746
3 Zn 0.2500 0.8200 0.6400
4 Zn 0.7500 0.1800 0.3600
5 Zn 0.2500 0.3918 0.2928
6 Zn 0.7500 0.6082 0.7072
7 Zn 0.2500 0.9010 0.2928
8 Zn 0.7500 0.0990 0.7072
9 Pd 0.0000 0.0000 0.0000
10 Pd 0.5000 0.0000 0.0000